Entry from Alexandria: a relaxed Ho8Tm3In2 crystal (PBE-GGA).

Calculated values
* total energy: -4.242 eV/atom
* ΔE_f: 0.0280 eV per atom

Cell lengths 9.975, 9.975, 5.472 Å; angles 90.00, 90.00, 131.75 degrees
Fractional coordinates of all 13 atoms:
Ho  0.129  0.871  0.000
Ho  0.178  0.410  0.500
Ho  0.323  0.677  0.000
Ho  0.410  0.178  0.500
Ho  0.590  0.822  0.500
Ho  0.677  0.323  0.000
Ho  0.822  0.590  0.500
Ho  0.871  0.129  0.000
Tm  0.000  0.000  0.500
Tm  0.297  0.297  0.000
Tm  0.703  0.703  0.000
In  0.232  0.768  0.500
In  0.768  0.232  0.500